Record 1
{
  "formula": "LiIr2",
  "functional": "PBE",
  "state": "optimized geometry",
  "total_energy_ev_per_atom": -6.732,
  "sg": "Cm",
  "lattice_angstrom": [[4.932, -1.347, 0.000], [4.932, 1.347, 0.000], [-1.862, 0.000, 6.325]],
  "species": ["Li", "Li", "Ir", "Ir", "Ir", "Ir"],
  "frac_coords": [[0.000, 0.000, 0.000], [0.648, 0.648, 0.350], [0.281, 0.281, 0.061], [0.330, 0.330, 0.684], [0.607, 0.607, 0.723], [0.916, 0.916, 0.396]]
}

Record 2
{
  "formula": "LiIr2",
  "functional": "PBE",
  "state": "optimized geometry",
  "total_energy_ev_per_atom": -5.562,
  "sg": "Pa-3",
  "lattice_angstrom": [[5.446, 0.000, 0.000], [0.000, 5.446, 0.000], [0.000, 0.000, 5.446]],
  "species": ["Li", "Li", "Li", "Li", "Ir", "Ir", "Ir", "Ir", "Ir", "Ir", "Ir", "Ir"],
  "frac_coords": [[0.000, 0.000, 0.000], [0.000, 0.500, 0.500], [0.500, 0.000, 0.500], [0.500, 0.500, 0.000], [0.137, 0.637, 0.863], [0.137, 0.863, 0.363], [0.363, 0.137, 0.863], [0.363, 0.363, 0.363], [0.637, 0.637, 0.637], [0.637, 0.863, 0.137], [0.863, 0.137, 0.637], [0.863, 0.363, 0.137]]
}

Record 3
{
  "formula": "LiIr4",
  "functional": "PBE",
  "state": "optimized geometry",
  "sg": "Pm-3m",
  "polymorph_energy_mev_per_atom": 1000.3,
  "lattice_angstrom": [[4.095, 0.000, 0.000], [0.000, 4.095, 0.000], [0.000, 0.000, 4.095]],
  "species": ["Li", "Ir", "Ir", "Ir", "Ir"],
  "frac_coords": [[0.000, 0.000, 0.000], [0.000, 0.000, 0.500], [0.000, 0.500, 0.000], [0.500, 0.000, 0.000], [0.500, 0.500, 0.500]]
}

Record 4
{
  "formula": "Li2Ir",
  "functional": "PBE",
  "state": "optimized geometry",
  "total_energy_ev_per_atom": -4.213,
  "sg": "P6_3/mmc",
  "lattice_angstrom": [[4.592, 0.000, 0.000], [-2.296, 3.977, 0.000], [0.000, 0.000, 8.467]],
  "species": ["Li", "Li", "Li", "Li", "Li", "Li", "Li", "Li", "Ir", "Ir", "Ir", "Ir"],
  "frac_coords": [[0.000, 0.000, 0.000], [0.000, 0.000, 0.500], [0.174, 0.349, 0.250], [0.174, 0.826, 0.250], [0.349, 0.174, 0.750], [0.651, 0.826, 0.250], [0.826, 0.174, 0.750], [0.826, 0.651, 0.750], [0.333, 0.667, 0.517], [0.333, 0.667, 0.983], [0.667, 0.333, 0.017], [0.667, 0.333, 0.483]]
}

Record 5
{
  "formula": "Li3Ir",
  "functional": "PBE",
  "state": "optimized geometry",
  "total_energy_ev_per_atom": -3.581,
  "sg": "Pm-3n",
  "lattice_angstrom": [[4.776, 0.000, 0.000], [0.000, 4.776, 0.000], [0.000, 0.000, 4.776]],
  "species": ["Li", "Li", "Li", "Li", "Li", "Li", "Ir", "Ir"],
  "frac_coords": [[0.000, 0.250, 0.500], [0.000, 0.750, 0.500], [0.250, 0.500, 0.000], [0.500, 0.000, 0.250], [0.500, 0.000, 0.750], [0.750, 0.500, 0.000], [0.000, 0.000, 0.000], [0.500, 0.500, 0.500]]
}

Record 6
{
  "formula": "Li3Ir2",
  "functional": "PBE",
  "state": "optimized geometry",
  "sg": "C2/m",
  "polymorph_energy_mev_per_atom": 69.8,
  "lattice_angstrom": [[4.585, -1.370, 0.000], [4.585, 1.370, 0.000], [-4.011, 0.000, 5.245]],
  "species": ["Li", "Li", "Li", "Ir", "Ir"],
  "frac_coords": [[0.000, 0.000, 0.000], [0.388, 0.388, 0.596], [0.612, 0.612, 0.404], [0.178, 0.178, 0.794], [0.822, 0.822, 0.206]]
}

no.,V (Å³/atom)
1,14.00
2,13.46
3,13.73
4,12.88
5,13.61
6,13.18